Entry 1:
PmMgAlNi | PBE | optimized geometry

Lattice parameters (Å, degrees): 6.7007 6.7007 6.7007 90.00 90.00 90.00
Last column: nearest neighbours and their distance in Å.
Space group F-43m (No. 216)
Asymmetric unit:
Pm  0.0000  0.0000  0.0000 [4 per cell]  4 Mg 2.90, 4 Ni 2.90
Mg  0.2500  0.2500  0.7500 [4 per cell]  4 Pm 2.90, 4 Al 2.90
Al  0.0000  0.0000  0.5000 [4 per cell]  4 Ni 2.90, 4 Mg 2.90
Ni  0.2500  0.2500  0.2500 [4 per cell]  4 Pm 2.90, 4 Al 2.90

Results
calculated total energy	-4.208	eV/atom

Entry 2:
Ca2HoNpAs4 | PBE | optimized geometry

Lattice parameters (Å, degrees): 7.1704 4.1809 7.2357 90.00 109.24 90.00
Last column: nearest neighbours and their distance in Å.
Space group P2/m (No. 10)
Asymmetric unit:
Ca  0.0000  0.0000  0.0000 [1 per cell]  6 As 3.06-3.07
Ca  0.5000  0.5000  0.0000 [1 per cell]  6 As 2.99-3.00
Ho  0.0000  0.5000  0.5000 [1 per cell]  6 As 2.89-2.91
Np  0.5000  0.0000  0.5000 [1 per cell]  6 As 2.80-2.85
As  0.2532  0.0000  0.7307 [2 per cell]  1 Np 2.80, 2 Ho 2.91, 3 Ca 3.00-3.07
As  0.2632  0.5000  0.2714 [2 per cell]  2 Np 2.85, 1 Ho 2.89, 3 Ca 2.99-3.06

Results
calculated total energy	-6.107	eV/atom

Entry 3:
Ba3CuN2 | PBE | optimized geometry

Lattice parameters (Å, degrees): 20.6367 5.1562 7.6288 90.00 100.73 90.00
Last column: nearest neighbours and their distance in Å.
Space group C2/c (No. 15)
Asymmetric unit:
Ba  0.0000  0.0112  0.2500 [4 per cell]  4 N 2.91-2.97, 4 Cu 3.16-3.25
Ba  0.1490  0.4575  0.8148 [8 per cell]  2 N 2.57-2.63
Cu  0.0000  0.5000  0.0000 [4 per cell]  2 N 1.85
N  0.0774  0.3094  0.0385 [8 per cell]  1 Cu 1.85

Results
calculated total energy	-4.662	eV/atom
ΔE_f (raw)	-0.24	eV per atom

- Which value of calculated total energy does entry 3 give?
  -4.662 eV/atom